1.
Below is CsHoBeO3 after structural relaxation, with properties calculated at the PBE level.

Lattice parameters (Å, degrees): 7.9539 3.4452 8.2061 90.00 112.60 90.00
Element x y z (fractional)
Cs (0.2414, 0.2500, 0.2126)
Cs (0.7586, 0.7500, 0.7874)
Ho (0.1585, 0.2500, 0.6648)
Ho (0.8415, 0.7500, 0.3352)
Be (0.3937, 0.7500, 0.9374)
Be (0.6063, 0.2500, 0.0626)
O (0.1447, 0.7500, 0.4801)
O (0.1819, 0.7500, 0.8579)
O (0.4579, 0.2500, 0.8689)
O (0.5421, 0.7500, 0.1311)
O (0.8181, 0.2500, 0.1421)
O (0.8553, 0.2500, 0.5199)

space group	No. 11
magnetic moment	0.0	μB/f.u.
crystal system	monoclinic
formation energy without anion corrections	-2.644	eV/atom
V	17.30	A^3/atom

***

2.
Below is PmMgZn2 after structural relaxation, with properties calculated at the PBE level.

Lattice parameters (Å, degrees): 4.8703 4.8703 3.7046 90.00 90.00 90.00
Element x y z (fractional)
Pm (0.0000, 0.0000, 0.0000)
Mg (0.5000, 0.5000, 0.0000)
Zn (0.0000, 0.5000, 0.5000)
Zn (0.5000, 0.0000, 0.5000)

space group	No. 123
magnetic moment	0.0	μB/f.u.
crystal system	tetragonal
formation energy from the elements	-0.208	eV per atom
V	21.97	A^3/atom

***

3.
Below is CuRh2Se4 after structural relaxation, with properties calculated at the PBE level.

Lattice parameters (Å, degrees): 7.3573 7.3573 7.3573 60.00 60.00 60.00
Element x y z (fractional)
Cu (0.1250, 0.1250, 0.1250)
Cu (0.8750, 0.8750, 0.8750)
Rh (0.0000, 0.5000, 0.5000)
Rh (0.5000, 0.0000, 0.5000)
Rh (0.5000, 0.5000, 0.0000)
Rh (0.5000, 0.5000, 0.5000)
Se (0.2595, 0.2595, 0.2595)
Se (0.2595, 0.2595, 0.7214)
Se (0.2595, 0.7214, 0.2595)
Se (0.2786, 0.7405, 0.7405)
Se (0.7214, 0.2595, 0.2595)
Se (0.7405, 0.2786, 0.7405)
Se (0.7405, 0.7405, 0.2786)
Se (0.7405, 0.7405, 0.7405)

space group	No. 227
magnetic moment	0.0	μB/f.u.
crystal system	cubic
formation energy without anion corrections	-0.389	eV/atom
V	20.11	A^3/atom

***

4.
Below is Pu2PtAu after structural relaxation, with properties calculated at the PBE level.

Lattice parameters (Å, degrees): 4.1101 4.1101 21.4762 90.00 90.00 120.00
Element x y z (fractional)
Pu (0.0000, 0.0000, 0.0000)
Pu (0.0000, 0.0000, 0.1822)
Pu (0.3333, 0.6667, 0.6667)
Pu (0.3333, 0.6667, 0.8489)
Pu (0.6667, 0.3333, 0.3333)
Pu (0.6667, 0.3333, 0.5155)
Pt (0.0000, 0.0000, 0.5910)
Pt (0.3333, 0.6667, 0.2577)
Pt (0.6667, 0.3333, 0.9244)
Au (0.0000, 0.0000, 0.4242)
Au (0.3333, 0.6667, 0.0909)
Au (0.6667, 0.3333, 0.7576)

space group	No. 160
magnetic moment	0.1	μB/f.u.
crystal system	trigonal
formation energy from the elements	-0.443	eV per atom
V	26.18	A^3/atom

***

5.
Below is TbGe2Au4 after structural relaxation, with properties calculated at the PBE level.

Lattice parameters (Å, degrees): 8.1091 8.1091 4.2543 90.00 90.00 90.00
Element x y z (fractional)
Tb (0.0000, 0.0000, 0.0000)
Tb (0.5000, 0.5000, 0.5000)
Ge (0.2345, 0.2345, 0.5000)
Ge (0.2655, 0.7345, 0.0000)
Ge (0.7345, 0.2655, 0.0000)
Ge (0.7655, 0.7655, 0.5000)
Au (0.0661, 0.6828, 0.5000)
Au (0.1828, 0.4339, 0.0000)
Au (0.3172, 0.9339, 0.5000)
Au (0.4339, 0.1828, 0.0000)
Au (0.5661, 0.8172, 0.0000)
Au (0.6828, 0.0661, 0.5000)
Au (0.8172, 0.5661, 0.0000)
Au (0.9339, 0.3172, 0.5000)

space group	No. 136
magnetic moment	0.0	μB/f.u.
crystal system	tetragonal
formation energy from the elements	-0.320	eV per atom
V	19.98	A^3/atom

***

6.
Below is Cd8Pd2Au3 after structural relaxation, with properties calculated at the PBE level.

Lattice parameters (Å, degrees): 7.9821 7.9821 4.6966 90.00 90.00 108.99
Element x y z (fractional)
Cd (0.1308, 0.8692, 0.0000)
Cd (0.1340, 0.3966, 0.5000)
Cd (0.3641, 0.6359, 0.0000)
Cd (0.3966, 0.1340, 0.5000)
Cd (0.6034, 0.8660, 0.5000)
Cd (0.6359, 0.3641, 0.0000)
Cd (0.8660, 0.6034, 0.5000)
Cd (0.8692, 0.1308, 0.0000)
Pd (0.2389, 0.7611, 0.5000)
Pd (0.7611, 0.2389, 0.5000)
Au (0.0000, 0.0000, 0.5000)
Au (0.2578, 0.2578, 0.0000)
Au (0.7422, 0.7422, 0.0000)

space group	No. 65
magnetic moment	0.0	μB/f.u.
crystal system	orthorhombic
formation energy from the elements	-0.208	eV per atom
V	21.77	A^3/atom